{
  "formula": "PaTiSi",
  "functional": "GGA-PBE",
  "state": "relaxed",
  "final_energy_ev_per_cell": -23.4,
  "e_form_raw_ev_per_atom": -0.208,
  "lattice_angstrom": [[3.237, 0.000, 0.000], [0.000, 4.567, 0.000], [0.000, -2.283, 3.955]],
  "species": ["Si", "Pa", "Ti"],
  "fractional_positions": [[0.834, 0.333, 0.667], [0.333, 0.667, 0.333], [0.833, 0.000, 0.000]]
}